Entry 1:
# BeTe2Br PBE optimized geometry
# **Total energy**: -10.9 eV per formula unit
# **Distance to the lowest polymorph of the same formula**: 406 meV per atom
data_BeTe2Br
_cell_length_a 3.6540
_cell_length_b 5.4492
_cell_length_c 10.4881
_cell_angle_alpha 90.00
_cell_angle_beta 90.00
_cell_angle_gamma 90.00
_space_group_name_H-M_alt 'I m m m'
_space_group_IT_number 71
_space_group_name_Hall '-I 2 2'
loop_
_atom_site_label
_atom_site_fract_x
_atom_site_fract_y
_atom_site_fract_z
Be1 0.0000 0.0000 0.0000
Te1 0.0000 0.5000 0.3351
Br1 0.0000 0.0000 0.5000



Entry 2:
# Be2TeBr PBE optimized geometry
# **Total energy**: -12.2 eV per formula unit
# **Distance to the lowest polymorph of the same formula**: 103 meV per atom
data_Be2TeBr
_cell_length_a 3.7824
_cell_length_b 3.8711
_cell_length_c 15.1105
_cell_angle_alpha 90.00
_cell_angle_beta 90.00
_cell_angle_gamma 90.00
_space_group_name_H-M_alt 'I m m 2'
_space_group_IT_number 44
_space_group_name_Hall 'I 2 -2'
loop_
_atom_site_label
_atom_site_fract_x
_atom_site_fract_y
_atom_site_fract_z
Be1 0.0000 0.0000 0.0000
Be2 0.0000 0.5000 0.0790
Te1 0.0000 0.0000 0.1615
Br1 0.0000 0.5000 0.4192



Entry 3:
# BeTeBr3 PBE optimized geometry
# **Total energy**: -9.4 eV per formula unit
# **Distance to the lowest polymorph of the same formula**: 486 meV per atom
data_BeTeBr3
_cell_length_a 5.6407
_cell_length_b 5.6407
_cell_length_c 5.6407
_cell_angle_alpha 90.00
_cell_angle_beta 90.00
_cell_angle_gamma 90.00
_space_group_name_H-M_alt 'P m -3 m'
_space_group_IT_number 221
_space_group_name_Hall '-P 4 2 3'
loop_
_atom_site_label
_atom_site_fract_x
_atom_site_fract_y
_atom_site_fract_z
Be1 0.0000 0.0000 0.0000
Te1 0.5000 0.5000 0.5000
Br1 0.0000 0.5000 0.5000



Entry 4:
# Be2TeBr PBE optimized geometry
# **Total energy**: -8.0 eV per formula unit
# **Distance to the lowest polymorph of the same formula**: 1154 meV per atom
data_Be2TeBr
_cell_length_a 6.8423
_cell_length_b 6.8423
_cell_length_c 6.8423
_cell_angle_alpha 90.00
_cell_angle_beta 90.00
_cell_angle_gamma 90.00
_space_group_name_H-M_alt 'F -4 3 m'
_space_group_IT_number 216
_space_group_name_Hall 'F -4 2 3'
loop_
_atom_site_label
_atom_site_fract_x
_atom_site_fract_y
_atom_site_fract_z
Be1 0.0000 0.0000 0.0000
Be2 0.2500 0.2500 0.2500
Te1 0.2500 0.2500 0.7500
Br1 0.0000 0.0000 0.5000



Entry 5:
# BeTeBr2 PBE optimized geometry
# **Total energy**: -6.9 eV per formula unit
# **Distance to the lowest polymorph of the same formula**: 1208 meV per atom
data_BeTeBr2
_cell_length_a 7.2672
_cell_length_b 7.2672
_cell_length_c 7.2672
_cell_angle_alpha 90.00
_cell_angle_beta 90.00
_cell_angle_gamma 90.00
_space_group_name_H-M_alt 'F m -3 m'
_space_group_IT_number 225
_space_group_name_Hall '-F 4 2 3'
loop_
_atom_site_label
_atom_site_fract_x
_atom_site_fract_y
_atom_site_fract_z
Be1 0.0000 0.0000 0.0000
Te1 0.0000 0.0000 0.5000
Br1 0.2500 0.2500 0.2500



Entry 6:
# BeTeBr2 PBE optimized geometry
# **Total energy**: -11.2 eV per formula unit
# **Distance to the lowest polymorph of the same formula**: 145 meV per atom
data_BeTeBr2
_cell_length_a 7.3954
_cell_length_b 3.1245
_cell_length_c 7.5773
_cell_angle_alpha 90.00
_cell_angle_beta 111.50
_cell_angle_gamma 90.00
_space_group_name_H-M_alt 'P 1 2/m 1'
_space_group_IT_number 10
_space_group_name_Hall '-P 2y'
loop_
_atom_site_label
_atom_site_fract_x
_atom_site_fract_y
_atom_site_fract_z
Be1 0.0000 0.0000 0.0000
Te1 0.5000 0.0000 0.5000
Br1 0.1344 0.5000 0.8759



Entry 7:
# BeTe2Br PBE optimized geometry
# **Total energy**: -12.5 eV per formula unit
# **Distance to the lowest polymorph of the same formula**: 0 meV per atom
data_BeTe2Br
_cell_length_a 5.3029
_cell_length_b 3.4721
_cell_length_c 7.7615
_cell_angle_alpha 90.00
_cell_angle_beta 97.55
_cell_angle_gamma 90.00
_space_group_name_H-M_alt 'P 1 m 1'
_space_group_IT_number 6
_space_group_name_Hall 'P -2y'
loop_
_atom_site_label
_atom_site_fract_x
_atom_site_fract_y
_atom_site_fract_z
Be1 0.0000 0.0000 0.0000
Te1 0.2618 0.0000 0.2757
Te2 0.7253 0.5000 0.2402
Br1 0.0040 0.5000 0.8234



Entry 8:
# Be2TeBr PBE optimized geometry
# **Total energy**: -9.4 eV per formula unit
# **Distance to the lowest polymorph of the same formula**: 788 meV per atom
data_Be2TeBr
_cell_length_a 4.7568
_cell_length_b 4.7568
_cell_length_c 3.2974
_cell_angle_alpha 90.00
_cell_angle_beta 90.00
_cell_angle_gamma 90.00
_space_group_name_H-M_alt 'P 4/m m m'
_space_group_IT_number 123
_space_group_name_Hall '-P 4 2'
loop_
_atom_site_label
_atom_site_fract_x
_atom_site_fract_y
_atom_site_fract_z
Be1 0.0000 0.5000 0.0000
Te1 0.0000 0.0000 0.5000
Br1 0.5000 0.5000 0.5000



Entry 9:
# Be2TeBr PBE optimized geometry
# **Total energy**: -12.1 eV per formula unit
# **Distance to the lowest polymorph of the same formula**: 111 meV per atom
data_Be2TeBr
_cell_length_a 3.8036
_cell_length_b 3.7278
_cell_length_c 7.0418
_cell_angle_alpha 90.00
_cell_angle_beta 103.06
_cell_angle_gamma 90.00
_space_group_name_H-M_alt 'P 1 m 1'
_space_group_IT_number 6
_space_group_name_Hall 'P -2y'
loop_
_atom_site_label
_atom_site_fract_x
_atom_site_fract_y
_atom_site_fract_z
Be1 0.0000 0.0000 0.0000
Be2 0.4555 0.5000 0.9683
Te1 0.5837 0.0000 0.2020
Br1 0.2809 0.5000 0.6666



Entry 10:
# BeTe2Br PBE optimized geometry
# **Total energy**: -11.6 eV per formula unit
# **Distance to the lowest polymorph of the same formula**: 218 meV per atom
data_BeTe2Br
_cell_length_a 3.8875
_cell_length_b 3.8875
_cell_length_c 25.1049
_cell_angle_alpha 90.00
_cell_angle_beta 90.00
_cell_angle_gamma 120.00
_space_group_name_H-M_alt 'R -3 m'
_space_group_IT_number 166
_space_group_name_Hall '-R 3 2"'
loop_
_atom_site_label
_atom_site_fract_x
_atom_site_fract_y
_atom_site_fract_z
Be1 0.0000 0.0000 0.0000
Te1 0.0000 0.0000 0.3879
Br1 0.0000 0.0000 0.5000



Entry 11:
# BeTe2Br PBE optimized geometry
# **Total energy**: -9.6 eV per formula unit
# **Distance to the lowest polymorph of the same formula**: 713 meV per atom
data_BeTe2Br
_cell_length_a 3.9281
_cell_length_b 3.9387
_cell_length_c 8.7580
_cell_angle_alpha 90.00
_cell_angle_beta 90.00
_cell_angle_gamma 90.00
_space_group_name_H-M_alt 'P m m m'
_space_group_IT_number 47
_space_group_name_Hall '-P 2 2'
loop_
_atom_site_label
_atom_site_fract_x
_atom_site_fract_y
_atom_site_fract_z
Be1 0.0000 0.0000 0.0000
Te1 0.5000 0.0000 0.5000
Te2 0.5000 0.5000 0.0000
Br1 0.0000 0.5000 0.5000



Entry 12:
# BeTeBr2 PBE optimized geometry
# **Total energy**: -11.6 eV per formula unit
# **Distance to the lowest polymorph of the same formula**: 42 meV per atom
data_BeTeBr2
_cell_length_a 5.4158
_cell_length_b 4.0157
_cell_length_c 6.4764
_cell_angle_alpha 90.00
_cell_angle_beta 108.60
_cell_angle_gamma 90.00
_space_group_name_H-M_alt 'P 1 m 1'
_space_group_IT_number 6
_space_group_name_Hall 'P -2y'
loop_
_atom_site_label
_atom_site_fract_x
_atom_site_fract_y
_atom_site_fract_z
Be1 0.0000 0.0000 0.0000
Te1 0.1405 0.5000 0.2320
Br1 0.5489 0.5000 0.0895
Br2 0.8521 0.0000 0.6738



Entry 13:
# Be2TlTeBr PBE optimized geometry
# **Total energy**: -11.9 eV per formula unit
data_Be2TlTeBr
_cell_length_a 4.8416
_cell_length_b 4.8416
_cell_length_c 7.3822
_cell_angle_alpha 90.00
_cell_angle_beta 90.00
_cell_angle_gamma 90.00
_space_group_name_H-M_alt 'P 4/m m m'
_space_group_IT_number 123
_space_group_name_Hall '-P 4 2'
loop_
_atom_site_label
_atom_site_fract_x
_atom_site_fract_y
_atom_site_fract_z
Be1 0.0000 0.5000 0.0000
Tl1 0.0000 0.0000 0.5000
Te1 0.0000 0.0000 0.0000
Br1 0.5000 0.5000 0.5000



Entry 14:
# BeVTeBr2 PBE optimized geometry
# **Total energy**: -18.4 eV per formula unit
data_BeVTeBr2
_cell_length_a 4.5615
_cell_length_b 4.5615
_cell_length_c 5.8519
_cell_angle_alpha 90.00
_cell_angle_beta 90.00
_cell_angle_gamma 90.00
_space_group_name_H-M_alt 'P 4/m m m'
_space_group_IT_number 123
_space_group_name_Hall '-P 4 2'
loop_
_atom_site_label
_atom_site_fract_x
_atom_site_fract_y
_atom_site_fract_z
Be1 0.0000 0.0000 0.0000
V1 0.5000 0.5000 0.5000
Te1 0.0000 0.0000 0.5000
Br1 0.0000 0.5000 0.0000